Record 1
# HfCrTc2

A relaxed HfCrTc2 crystal (PBE, Alexandria).

abc: 7.009 7.009 5.643
angles: 51.61 51.61 90.00
Fractional positions:
Tc (0.574, 0.125, 0.250)
Tc (0.875, 0.824, 0.750)
Hf (0.000, 0.000, 0.000)
Tc (0.375, 0.426, 0.750)
Cr (0.500, 0.500, 0.000)
Hf (0.750, 0.250, 0.500)
Tc (0.176, 0.625, 0.250)
Cr (0.250, 0.750, 0.500)

The value obtained for the formation energy is 0.383 eV/atom.



Record 2
# HfCrTc3

A relaxed HfCrTc3 crystal (PBE, Alexandria).

abc: 4.430 4.430 4.430
angles: 90.00 90.00 90.00
Fractional positions:
Hf (0.500, 0.500, 0.500)
Tc (0.000, 0.500, 0.000)
Cr (0.000, 0.000, 0.000)
Tc (0.500, 0.000, 0.000)
Tc (0.000, 0.000, 0.500)

As for the energy above the most stable polymorph in this dataset: 0.000 eV per atom. The value obtained for the formation energy is 0.649 eV/atom.



Record 3
# Hf2Cr3Tc

A relaxed Hf2Cr3Tc crystal (PBE, Alexandria).

abc: 5.054 5.054 5.097
angles: 90.05 119.69 119.97
Fractional positions:
Hf (0.249, 0.624, 0.873)
Hf (0.751, 0.376, 0.127)
Tc (0.000, 0.000, 0.000)
Cr (0.500, 0.000, 0.500)
Cr (0.000, 0.000, 0.500)
Cr (0.500, 0.500, 0.500)

The value obtained for the formation energy is -0.218 eV/atom.



Record 4
# HfCr3Tc

A relaxed HfCr3Tc crystal (PBE, Alexandria).

abc: 4.467 4.467 4.467
angles: 90.00 90.00 90.00
Fractional positions:
Cr (0.500, 0.000, 0.000)
Cr (0.000, 0.000, 0.500)
Hf (0.500, 0.500, 0.500)
Cr (0.000, 0.500, 0.000)
Tc (0.000, 0.000, 0.000)

As for the energy above the most stable polymorph in this dataset: 0.000 eV per atom. The value obtained for the formation energy is 1.093 eV/atom.



Record 5
# HfCrTc2

A relaxed HfCrTc2 crystal (PBE, Alexandria).

abc: 3.146 4.408 4.408
angles: 90.00 90.00 90.00
Fractional positions:
Hf (0.500, 0.000, 0.000)
Cr (0.500, 0.500, 0.500)
Tc (0.000, 0.500, 0.000)
Tc (0.000, 0.000, 0.500)

The value obtained for the formation energy is -0.128 eV/atom.



Record 6
# HfCr2Tc

A relaxed HfCr2Tc crystal (PBE, Alexandria).

abc: 6.935 6.935 5.574
angles: 51.53 51.53 90.00
Fractional positions:
Cr (0.589, 0.125, 0.250)
Tc (0.250, 0.750, 0.500)
Hf (0.750, 0.250, 0.500)
Hf (0.000, 0.000, 0.000)
Cr (0.875, 0.839, 0.750)
Cr (0.375, 0.411, 0.750)
Cr (0.161, 0.625, 0.250)
Tc (0.500, 0.500, 0.000)

As for the energy above the most stable polymorph in this dataset: 0.544 eV per atom. The value obtained for the formation energy is 0.571 eV/atom.



Record 7
# Hf2CrTc3

A relaxed Hf2CrTc3 crystal (PBE, Alexandria).

abc: 5.288 5.288 5.089
angles: 90.20 121.13 119.94
Fractional positions:
Tc (0.500, 0.500, 0.500)
Hf (0.747, 0.374, 0.121)
Hf (0.253, 0.626, 0.879)
Tc (0.000, 0.000, 0.500)
Cr (0.000, 0.000, 0.000)
Tc (0.500, 0.000, 0.500)

The value obtained for the formation energy is -0.309 eV/atom.



Record 8
# HfCr2Tc2

A relaxed HfCr2Tc2 crystal (PBE, Alexandria).

abc: 7.268 7.268 2.820
angles: 90.00 90.00 90.00
Fractional positions:
Tc (0.846, 0.346, 0.500)
Cr (0.142, 0.358, 0.000)
Tc (0.154, 0.654, 0.500)
Cr (0.642, 0.142, 0.000)
Hf (0.500, 0.500, 0.000)
Cr (0.858, 0.642, 0.000)
Tc (0.346, 0.154, 0.500)
Tc (0.654, 0.846, 0.500)
Cr (0.358, 0.858, 0.000)
Hf (0.000, 0.000, 0.000)

The value obtained for the formation energy is 0.141 eV/atom.



Record 9
# HfCrTc3

A relaxed HfCrTc3 crystal (PBE, Alexandria).

abc: 4.653 4.653 4.653
angles: 90.00 90.00 90.00
Fractional positions:
Tc (0.500, 0.000, 0.000)
Hf (0.000, 0.000, 0.000)
Tc (0.000, 0.500, 0.000)
Cr (0.500, 0.500, 0.500)
Tc (0.000, 0.000, 0.500)

As for the energy above the most stable polymorph in this dataset: 1.591 eV per atom. The value obtained for the formation energy is 2.240 eV/atom.



Record 10
# Hf2Cr2Tc

A relaxed Hf2Cr2Tc crystal (PBE, Alexandria).

abc: 6.163 6.163 4.403
angles: 90.00 90.00 90.00
Fractional positions:
Cr (0.874, 0.626, 0.000)
Cr (0.626, 0.126, 0.000)
Hf (0.178, 0.678, 0.500)
Tc (0.000, 0.000, 0.000)
Tc (0.500, 0.500, 0.000)
Cr (0.374, 0.874, 0.000)
Hf (0.322, 0.178, 0.500)
Hf (0.678, 0.822, 0.500)
Hf (0.822, 0.322, 0.500)
Cr (0.126, 0.374, 0.000)

The value obtained for the formation energy is 0.031 eV/atom.



Record 11
# HfVCrTc

A relaxed HfVCrTc crystal (PBE, Alexandria).

abc: 4.415 4.415 4.415
angles: 60.00 60.00 60.00
Fractional positions:
V (0.000, 0.000, 0.000)
Hf (0.500, 0.500, 0.500)
Tc (0.250, 0.250, 0.250)
Cr (0.750, 0.750, 0.750)

The value obtained for the formation energy is -0.113 eV/atom.



Record 12
# HfCrTcW

A relaxed HfCrTcW crystal (PBE, Alexandria).

abc: 4.453 4.453 4.453
angles: 60.00 60.00 60.00
Fractional positions:
Hf (0.250, 0.250, 0.250)
Cr (0.500, 0.500, 0.500)
W (0.750, 0.750, 0.750)
Tc (0.000, 0.000, 0.000)

The value obtained for the formation energy is -0.132 eV/atom.



Record 13
# YHfCrTc2

A relaxed YHfCrTc2 crystal (PBE, Alexandria).

abc: 4.785 4.582 4.785
angles: 90.00 90.00 90.00
Fractional positions:
Y (0.000, 0.000, 0.000)
Tc (0.500, 0.000, 0.000)
Cr (0.000, 0.500, 0.000)
Tc (0.000, 0.000, 0.500)
Hf (0.500, 0.500, 0.500)

The value obtained for the formation energy is 1.818 eV/atom.



Record 14
# Hf2CrTe

A relaxed Hf2CrTe crystal (PBE, Alexandria).

abc: 4.138 4.138 10.741
angles: 78.89 78.89 90.00
Fractional positions:
Hf (0.375, 0.377, 0.750)
Te (0.750, 0.250, 0.500)
Te (0.000, 0.000, 0.000)
Hf (0.127, 0.625, 0.250)
Hf (0.623, 0.125, 0.250)
Hf (0.875, 0.873, 0.750)
Cr (0.250, 0.750, 0.500)
Cr (0.500, 0.500, 0.000)

As for the energy above the most stable polymorph in this dataset: 0.157 eV per atom. The raw formation energy comes out at 0.404 eV per atom.



Record 15
# Hf2CrTe

A relaxed Hf2CrTe crystal (PBE, Alexandria).

abc: 3.220 3.220 10.185
angles: 80.90 80.90 60.00
Fractional positions:
Hf (0.912, 0.912, 0.263)
Hf (0.088, 0.088, 0.737)
Te (0.500, 0.500, 0.500)
Cr (0.000, 0.000, 0.000)

As for the energy above the most stable polymorph in this dataset: 0.353 eV per atom. The raw formation energy comes out at 0.600 eV per atom.



Record 16
# HfCr3Te

A relaxed HfCr3Te crystal (PBE, Alexandria).

abc: 4.614 4.614 4.614
angles: 90.00 90.00 90.00
Fractional positions:
Hf (0.500, 0.500, 0.500)
Cr (0.500, 0.000, 0.000)
Cr (0.000, 0.000, 0.500)
Cr (0.000, 0.500, 0.000)
Te (0.000, 0.000, 0.000)

As for the energy above the most stable polymorph in this dataset: 0.000 eV per atom. The raw formation energy comes out at 1.464 eV per atom.



Record 17
# HfCr2Te2

A relaxed HfCr2Te2 crystal (PBE, Alexandria).

abc: 3.606 3.606 7.898
angles: 76.80 76.80 90.00
Fractional positions:
Cr (0.750, 0.250, 0.500)
Cr (0.250, 0.750, 0.500)
Hf (0.000, 0.000, 0.000)
Te (0.387, 0.387, 0.225)
Te (0.613, 0.613, 0.775)

As for the energy above the most stable polymorph in this dataset: 0.129 eV per atom. The raw formation energy comes out at 0.298 eV per atom.



Record 18
# HfCrTe2

A relaxed HfCrTe2 crystal (PBE, Alexandria).

abc: 4.959 4.959 4.959
angles: 60.00 60.00 60.00
Fractional positions:
Te (0.750, 0.750, 0.750)
Te (0.250, 0.250, 0.250)
Cr (0.000, 0.000, 0.000)
Hf (0.500, 0.500, 0.500)

As for the energy above the most stable polymorph in this dataset: 0.000 eV per atom. The raw formation energy comes out at -0.053 eV per atom.



Record 19
# HfCr2Te

A relaxed HfCr2Te crystal (PBE, Alexandria).

abc: 4.477 4.477 4.477
angles: 60.00 60.00 60.00
Fractional positions:
Hf (0.500, 0.500, 0.500)
Cr (0.750, 0.750, 0.750)
Te (0.000, 0.000, 0.000)
Cr (0.250, 0.250, 0.250)

As for the energy above the most stable polymorph in this dataset: 0.000 eV per atom. The raw formation energy comes out at 0.231 eV per atom.



Record 20
# Hf3CrTe6

A relaxed Hf3CrTe6 crystal (PBE, Alexandria).

abc: 8.289 8.289 8.289
angles: 87.72 87.72 87.72
Fractional positions:
Te (0.695, 0.090, 0.866)
Te (0.409, 0.181, 0.530)
Hf (0.069, 0.206, 0.591)
Te (0.591, 0.819, 0.470)
Te (0.866, 0.695, 0.090)
Te (0.470, 0.591, 0.819)
Te (0.134, 0.305, 0.910)
Hf (0.931, 0.794, 0.409)
Te (0.819, 0.470, 0.591)
Te (0.305, 0.910, 0.134)
Te (0.910, 0.134, 0.305)
Te (0.090, 0.866, 0.695)
Hf (0.591, 0.069, 0.206)
Cr (0.000, 0.000, 0.000)
Hf (0.409, 0.931, 0.794)
Hf (0.206, 0.591, 0.069)
Te (0.530, 0.409, 0.181)
Te (0.181, 0.530, 0.409)
Cr (0.500, 0.500, 0.500)
Hf (0.794, 0.409, 0.931)

The raw formation energy comes out at -0.438 eV per atom.